No. 1
{
  "formula": "Pu2U3NbN6",
  "functional": "PBE-GGA",
  "state": "optimized geometry",
  "lattice": [[2.9540, -5.1051, 0.0000], [2.9540, 5.1051, 0.0000], [-1.9723, 0.0000, 5.5118]],
  "species": ["Pu", "Pu", "U", "U", "U", "Nb", "N", "N", "N", "N", "N", "N"],
  "frac_coords": [[0.1659, 0.8341, 0.0000], [0.8341, 0.1659, 0.0000], [0.0000, 0.0000, 0.5000], [0.3315, 0.6685, 0.5000], [0.6685, 0.3315, 0.5000], [0.5000, 0.5000, 0.0000], [0.1020, 0.4177, 0.7517], [0.2702, 0.2702, 0.2549], [0.4177, 0.1020, 0.7517], [0.5823, 0.8980, 0.2483], [0.7298, 0.7298, 0.7451], [0.8980, 0.5823, 0.2483]],
  "crystal_system": "monoclinic",
  "formation_energy_uncorrected_ev_per_atom": -1.282
}



No. 2
{
  "formula": "Pu2UNbN4",
  "functional": "PBE-GGA",
  "state": "optimized geometry",
  "lattice": [[5.7843, 0.0000, 0.0000], [0.0000, 3.3833, 0.0000], [-1.9145, 0.0000, 5.5337]],
  "species": ["Pu", "Pu", "U", "Nb", "N", "N", "N", "N"],
  "frac_coords": [[0.0000, 0.0000, 0.0000], [0.5000, 0.5000, 0.0000], [0.0000, 0.5000, 0.5000], [0.5000, 0.0000, 0.5000], [0.2520, 0.0000, 0.7291], [0.2631, 0.5000, 0.2733], [0.7369, 0.5000, 0.7267], [0.7480, 0.0000, 0.2709]],
  "crystal_system": "monoclinic",
  "formation_energy_uncorrected_ev_per_atom": -1.279
}



No. 3
{
  "formula": "Pu3U2NbN6",
  "functional": "PBE-GGA",
  "state": "optimized geometry",
  "lattice": [[2.9408, -5.0970, 0.0000], [2.9408, 5.0970, 0.0000], [-1.9478, 0.0000, 5.5832]],
  "species": ["Pu", "Pu", "Pu", "U", "U", "Nb", "N", "N", "N", "N", "N", "N"],
  "frac_coords": [[0.0000, 0.0000, 0.0000], [0.3369, 0.6631, 0.0000], [0.6631, 0.3369, 0.0000], [0.1669, 0.8331, 0.5000], [0.8331, 0.1669, 0.5000], [0.5000, 0.5000, 0.5000], [0.0960, 0.4237, 0.2715], [0.2491, 0.2491, 0.7295], [0.4237, 0.0960, 0.2715], [0.5763, 0.9040, 0.7285], [0.7509, 0.7509, 0.2705], [0.9040, 0.5763, 0.7285]],
  "crystal_system": "monoclinic",
  "formation_energy_uncorrected_ev_per_atom": -1.298
}



No. 4
{
  "formula": "Y2PuNbN4",
  "functional": "PBE-GGA",
  "state": "optimized geometry",
  "lattice": [[5.8186, 0.0000, 0.0000], [0.0000, 3.3724, 0.0000], [-1.9084, 0.0000, 5.5248]],
  "species": ["Y", "Y", "Pu", "Nb", "N", "N", "N", "N"],
  "frac_coords": [[0.0000, 0.0000, 0.0000], [0.5000, 0.5000, 0.0000], [0.0000, 0.5000, 0.5000], [0.5000, 0.0000, 0.5000], [0.2550, 0.0000, 0.7353], [0.2645, 0.5000, 0.2702], [0.7355, 0.5000, 0.7298], [0.7450, 0.0000, 0.2647]],
  "crystal_system": "monoclinic",
  "formation_energy_uncorrected_ev_per_atom": -1.402
}